Entry 1:
DFT (PBE-GGA) results for a geometry-optimized Ce2Sb2Rh3 structure. Values from VASP.

Properties
uncorrected formation energy: -550 kJ/mol of formula units
density of states at the Fermi level: 9.28 states/eV/f.u.
theoretical density: 8.83 g cm⁻³
E_tot: -6.838 eV/atom

Geometry as Quantum ESPRESSO input:
```
&SYSTEM
  ibrav = 0, nat = 14, ntyp = 3
/
ATOMIC_SPECIES
Ce 140.12 Ce.upf
Sb 121.76 Sb.upf
Rh 102.91 Rh.upf
ATOMIC_POSITIONS crystal
Ce 0.000 0.487 0.500
Ce 0.013 0.013 0.013
Ce 0.487 0.500 0.000
Ce 0.500 0.000 0.487
Sb 0.000 0.906 0.500
Sb 0.500 0.000 0.906
Sb 0.594 0.594 0.594
Sb 0.906 0.500 0.000
Rh 0.020 0.270 0.750
Rh 0.230 0.250 0.480
Rh 0.250 0.480 0.230
Rh 0.270 0.750 0.020
Rh 0.480 0.230 0.250
Rh 0.750 0.020 0.270
CELL_PARAMETERS angstrom
-4.278 4.278 4.278
4.278 -4.278 4.278
4.278 4.278 -4.278
```

Entry 2:
DFT (PBE-GGA) results for a geometry-optimized Ce2SbRh3 structure. Values from VASP.

Properties
uncorrected formation energy: -404 kJ/mol of formula units
density of states at the Fermi level: 1.50 states/eV/f.u.
theoretical density: 9.01 g cm⁻³
E_tot: -7.039 eV/atom

Geometry as Quantum ESPRESSO input:
```
&SYSTEM
  ibrav = 0, nat = 12, ntyp = 3
/
ATOMIC_SPECIES
Ce 140.12 Ce.upf
Sb 121.76 Sb.upf
Rh 102.91 Rh.upf
ATOMIC_POSITIONS crystal
Ce 0.217 0.783 0.783
Ce 0.250 0.250 0.250
Ce 0.750 0.750 0.750
Ce 0.783 0.217 0.217
Sb 0.205 0.205 0.795
Sb 0.795 0.795 0.205
Rh 0.124 0.676 0.324
Rh 0.324 0.876 0.124
Rh 0.398 0.398 0.602
Rh 0.602 0.602 0.398
Rh 0.676 0.124 0.876
Rh 0.876 0.324 0.676
CELL_PARAMETERS angstrom
0.000 4.946 6.741
3.929 0.000 6.741
3.929 4.946 0.000
```